[1]
Ba2CdPd6Pb | PBE-GGA | relaxed

Cell: 5.7134 9.2365 7.1456 Å, 50.17 66.43 89.99°
Positions (direct):
Pb: 0.5000 0.5000 0.0000
Pd: 0.7423 0.7318 0.0279
Pd: 0.7525 0.5849 0.4973
Pd: 0.7692 0.2673 0.9737
Pd: 0.2475 0.4151 0.5027
Pd: 0.2308 0.7327 0.0263
Pd: 0.2577 0.2682 0.9721
Cd: 0.0000 0.0000 0.0000
Ba: 0.7425 0.2018 0.5149
Ba: 0.2575 0.7982 0.4851

Results
Energy of formation = -0.429 eV/atom
V = 247.3 Å³/cell

***

[2]
PrDyBeCu | PBE-GGA | relaxed

Cell: 4.9851 4.9851 4.9851 Å, 60.00 60.00 60.00°
Positions (direct):
Dy: 0.7500 0.7500 0.7500
Be: 0.0000 0.0000 0.0000
Pr: 0.2500 0.2500 0.2500
Cu: 0.5000 0.5000 0.5000

Results
Energy of formation = 0.010 eV/atom
V = 87.6 Å³/cell

***

[3]
MnPb3S | PBE-GGA | relaxed

Cell: 5.4901 5.4901 5.4901 Å, 90.00 90.00 90.00°
Positions (direct):
Pb: 0.0000 0.0000 0.5000
Pb: 0.0000 0.5000 0.0000
Pb: 0.5000 0.0000 0.0000
Mn: 0.5000 0.5000 0.5000
S: 0.0000 0.0000 0.0000

Results
Energy relative to the elements, uncorrected = 0.56 eV/atom
V = 165.5 Å³/cell

***

[4]
Hf2V2Fe | PBE-GGA | relaxed

Cell: 6.0959 6.0959 4.4748 Å, 90.00 90.00 90.00°
Positions (direct):
V: 0.8527 0.6473 0.0000
V: 0.3527 0.8527 0.0000
V: 0.6473 0.1473 0.0000
V: 0.1473 0.3527 0.0000
Fe: 0.0000 0.0000 0.0000
Fe: 0.5000 0.5000 0.0000
Hf: 0.8322 0.3322 0.5000
Hf: 0.3322 0.1678 0.5000
Hf: 0.6678 0.8322 0.5000
Hf: 0.1678 0.6678 0.5000

Results
Energy of formation = 0.080 eV/atom
V = 166.3 Å³/cell

***

[5]
Ce3AsBr3 | PBE-GGA | relaxed

Cell: 10.3396 10.3396 10.3396 Å, 109.47 109.47 109.47°
Positions (direct):
Ce: 0.5078 0.0155 0.2578
Ce: 0.7422 0.2578 0.7500
Ce: 0.9922 0.2422 0.4845
Ce: 0.2500 0.0078 0.4922
Ce: 0.7578 0.0078 0.0155
Ce: 0.5155 0.2578 0.0078
Ce: 0.7578 0.7500 0.2422
Ce: 0.9845 0.4922 0.2422
Ce: 0.7422 0.4845 0.4922
Ce: 0.2500 0.2422 0.2578
Ce: 0.9922 0.7500 0.0078
Ce: 0.5078 0.4922 0.7500
Br: 0.4934 0.5066 0.2500
Br: 0.2566 0.7434 0.2500
Br: 0.4868 0.7434 0.9934
Br: 0.2434 0.2500 0.7566
Br: 0.2434 0.9934 0.9868
Br: 0.7500 0.9934 0.5066
Br: 0.0066 0.2500 0.9934
Br: 0.0066 0.7566 0.5132
Br: 0.0132 0.5066 0.7566
Br: 0.7500 0.7566 0.7434
Br: 0.4934 0.9868 0.7434
Br: 0.2566 0.5132 0.5066
As: 0.7500 0.2500 0.2500
As: 0.0000 0.0000 0.2500
As: 0.7500 0.5000 0.0000
As: 0.5000 0.2500 0.5000

Results
Energy relative to the elements, uncorrected = -1.50 eV/atom
V = 850.9 Å³/cell

***

[6]
MgCd2Tc | PBE-GGA | relaxed

Cell: 2.8737 2.8737 9.4440 Å, 90.00 90.00 104.38°
Positions (direct):
Mg: 0.0000 0.0000 0.5224
Cd: 0.0000 0.0000 0.9794
Cd: 0.5000 0.5000 0.2558
Tc: 0.5000 0.5000 0.7425

Results
Energy of formation = 0.246 eV/atom
V = 75.5 Å³/cell

***

[7]
Ba2MnAl | PBE-GGA | relaxed

Cell: 3.7074 3.7060 9.7221 Å, 90.00 90.00 90.00°
Positions (direct):
Ba: 0.0000 0.0000 0.9221
Ba: 0.5000 0.5000 0.3269
Al: 0.5000 0.5000 0.6685
Mn: 0.0000 0.0000 0.5825

Results
Energy of formation = 0.245 eV/atom
V = 133.6 Å³/cell

***

[8]
ZrIrSe | PBE-GGA | relaxed

Cell: 4.4947 4.4947 4.4947 Å, 60.00 60.00 60.00°
Positions (direct):
Ir: 0.0000 0.0000 0.0000
Se: 0.5000 0.5000 0.5000
Zr: 0.7500 0.7500 0.7500

Results
Energy relative to the elements, uncorrected = -0.30 eV/atom
V = 64.2 Å³/cell

***

[9]
CaNd5In6 | PBE-GGA | relaxed

Cell: 5.4683 7.7477 9.4920 Å, 114.09 106.72 90.00°
Positions (direct):
In: 0.8348 0.5847 0.6686
In: 0.1652 0.4153 0.3314
In: 0.1653 0.9161 0.3314
In: 0.8347 0.0839 0.6686
In: 0.5000 0.2492 0.0000
In: 0.5000 0.7508 0.0000
Nd: 0.6636 0.1641 0.3281
Nd: 0.6674 0.6677 0.3355
Nd: 0.0000 0.5000 0.0000
Nd: 0.3364 0.8359 0.6719
Nd: 0.3326 0.3323 0.6645
Ca: 0.0000 0.0000 0.0000

Results
Energy of formation = -0.487 eV/atom
V = 348.4 Å³/cell

***

[10]
ErTmRe | PBE-GGA | relaxed

Cell: 3.1853 3.1853 14.5225 Å, 96.30 96.30 90.00°
Positions (direct):
Re: 0.2746 0.2746 0.5491
Re: 0.7254 0.7254 0.4509
Er: 0.4414 0.4414 0.8828
Er: 0.5586 0.5586 0.1172
Tm: 0.1557 0.1557 0.3113
Tm: 0.8443 0.8443 0.6887

Results
Energy of formation = 0.137 eV/atom
V = 145.6 Å³/cell

***

[11]
In2ReHW | PBE-GGA | relaxed

Cell: 5.3177 3.2173 5.3177 Å, 90.00 90.00 90.00°
Positions (direct):
In: 0.0000 0.0000 0.5000
In: 0.5000 0.0000 0.0000
W: 0.0000 0.0000 0.0000
Re: 0.5000 0.5000 0.5000
H: 0.0000 0.5000 0.0000

Results
V = 91.0 Å³/cell
Electronic total energy = -27.2 eV per formula unit

***

[12]
SrTb2Pm3Te6 | PBE-GGA | relaxed

Cell: 4.4600 8.9946 10.0099 Å, 103.51 102.87 90.00°
Positions (direct):
Pm: 0.5000 0.5000 0.0000
Pm: 0.1621 0.8182 0.3241
Pm: 0.8379 0.1818 0.6759
Tb: 0.1701 0.3412 0.3402
Tb: 0.8299 0.6588 0.6598
Te: 0.0053 0.2572 0.0107
Te: 0.3290 0.9127 0.6581
Te: 0.6710 0.0873 0.3419
Te: 0.3331 0.4242 0.6661
Te: 0.9947 0.7428 0.9893
Te: 0.6669 0.5758 0.3339
Sr: 0.5000 0.0000 0.0000

Results
Energy relative to the elements, uncorrected = -1.41 eV/atom
V = 380.1 Å³/cell

***

[13]
TaAl2Zn | PBE-GGA | relaxed

Cell: 5.0944 5.0944 4.6092 Å, 71.20 71.20 34.77°
Positions (direct):
Ta: 0.7500 0.7500 0.7500
Zn: 0.2500 0.2500 0.2500
Al: 0.5066 0.5066 0.4996
Al: 0.9934 0.9934 0.0004

Results
Energy of formation = -0.078 eV/atom
V = 64.2 Å³/cell

***

[14]
LiCr2Os | PBE-GGA | relaxed

Cell: 2.9691 4.1527 4.1046 Å, 90.00 90.00 90.00°
Positions (direct):
Cr: 0.5000 0.5000 0.0000
Cr: 0.0000 0.0000 0.0000
Os: 0.0000 0.5000 0.5000
Li: 0.5000 0.0000 0.5000

Results
Energy of formation = 0.314 eV/atom
V = 50.6 Å³/cell

***

[15]
Hf2AlPb | PBE-GGA | relaxed

Cell: 4.9541 4.9541 4.9541 Å, 60.00 60.00 60.00°
Positions (direct):
Al: 0.0000 0.0000 0.0000
Hf: 0.7500 0.7500 0.7500
Hf: 0.2500 0.2500 0.2500
Pb: 0.5000 0.5000 0.5000

Results
Energy of formation = 0.119 eV/atom
V = 86.0 Å³/cell

***

[16]
HoHfIrRh | PBE-GGA | relaxed

Cell: 4.7239 4.7239 4.7239 Å, 60.00 60.00 60.00°
Positions (direct):
Ir: 0.0000 0.0000 0.0000
Rh: 0.5000 0.5000 0.5000
Ho: 0.7500 0.7500 0.7500
Hf: 0.2500 0.2500 0.2500

Results
Energy of formation = -0.880 eV/atom
V = 74.5 Å³/cell

***

[17]
Pr4CoGe3 | PBE-GGA | relaxed

Cell: 4.3975 4.1376 11.0330 Å, 90.00 90.00 90.00°
Positions (direct):
Co: 0.5000 0.5000 0.0642
Pr: 0.0000 0.0000 0.1351
Pr: 0.5000 0.5000 0.3498
Pr: 0.5000 0.0000 0.6436
Pr: 0.0000 0.5000 0.8684
Ge: 0.5000 0.0000 0.9366
Ge: 0.0000 0.5000 0.5798
Ge: 0.0000 0.0000 0.4225

Results
Energy of formation = -0.608 eV/atom
V = 200.7 Å³/cell

***

[18]
PmNdFe | PBE-GGA | relaxed

Cell: 3.4842 3.4842 7.0633 Å, 104.28 104.28 90.00°
Positions (direct):
Nd: 0.0396 0.0396 0.0791
Fe: 0.6676 0.6676 0.3352
Pm: 0.2928 0.2928 0.5857

Results
Energy of formation = 0.171 eV/atom
V = 80.4 Å³/cell

***

[19]
TiMnCd | PBE-GGA | relaxed

Cell: 4.6694 4.6694 5.2667 Å, 90.00 90.00 90.00°
Positions (direct):
Ti: 0.0000 0.5000 0.0230
Ti: 0.5000 0.0000 0.9770
Mn: 0.5000 0.5000 0.0000
Mn: 0.0000 0.0000 0.0000
Cd: 0.5000 0.5000 0.5000
Cd: 0.0000 0.0000 0.5000

Results
Energy of formation = 0.480 eV/atom
V = 114.8 Å³/cell

***

[20]
NaCaPrMg | PBE-GGA | relaxed

Cell: 5.7065 5.7065 5.7065 Å, 60.00 60.00 60.00°
Positions (direct):
Ca: 0.5000 0.5000 0.5000
Mg: 0.7500 0.7500 0.7500
Pr: 0.0000 0.0000 0.0000
Na: 0.2500 0.2500 0.2500

Results
Energy of formation = 0.073 eV/atom
V = 131.4 Å³/cell